CdGa4Rh5 | Alexandria | PBE | relaxed; SG = P4/mmm; magnetization = 0.000 μB per atom; DFT formation energy = -0.62 eV/atom; DOS(E_F) = 0.24 states/eV per atom; DFT total energy = -55.941 eV for the cell shown
1.0
3.0359 0.0000 0.0000
0.0000 3.0359 0.0000
0.0000 0.0000 15.7906
Rh Ga Cd
5 4 1
Direct
0.5000 0.5000 0.6902
0.5000 0.5000 0.1214
0.5000 0.5000 0.5000
0.5000 0.5000 0.8786
0.5000 0.5000 0.3098
0.0000 0.0000 0.4029
0.0000 0.0000 0.5971
0.0000 0.0000 0.2078
0.0000 0.0000 0.7922
0.0000 0.0000 0.0000